Run 1
Ni2B2S, relaxed, DFT PBE; D(E_F) = 1.03 states/eV/cell; calculated volume = 10.11 Å³ per atom
1.0
-1.807 1.807 3.873
1.807 -1.807 3.873
1.807 1.807 -3.873
Ni B S
2 2 1
direct
0.250 0.750 0.500
0.750 0.250 0.500
0.108 0.108 0.000
0.892 0.892 0.000
0.500 0.500 0.000

Run 2
Ni2B2S, relaxed, DFT PBE; D(E_F) = 2.92 states/eV/cell; calculated volume = 9.73 Å³ per atom
1.0
5.710 0.000 0.000
0.000 5.710 0.000
0.000 0.000 2.983
Ni B S
4 4 2
direct
0.213 0.287 0.000
0.287 0.787 0.000
0.713 0.213 0.000
0.787 0.713 0.000
0.101 0.601 0.500
0.399 0.101 0.500
0.601 0.899 0.500
0.899 0.399 0.500
0.000 0.000 0.500
0.500 0.500 0.500

It is run 1 that is most stable; the runner-up trails by 134 meV per atom.